# 1
A relaxed structure of CaCr4Tc, computed with GGA-PBE.

The structure belongs to space group F-43m (No. 216); the cell edges are 6.9953, 6.9953 and 6.9953 Å and the angles 90.00°, 90.00° and 90.00°. Symmetry generates all atoms from Ca at (0.0000, 0.0000, 0.0000), Cr at (0.1244, 0.1244, 0.3756) and Tc at (0.2500, 0.2500, 0.7500).

---

# 2
A relaxed structure of CaCrTc3, computed with GGA-PBE.

The structure belongs to space group Pm-3m (No. 221); the cell edges are 4.5473, 4.5473 and 4.5473 Å and the angles 90.00°, 90.00° and 90.00°. Symmetry generates all atoms from Ca at (0.0000, 0.0000, 0.0000), Cr at (0.5000, 0.5000, 0.5000) and Tc at (0.0000, 0.5000, 0.5000).

The value obtained for the energy above the most stable polymorph in this dataset is 0 meV per atom.

---

# 3
A relaxed structure of Ca2CrTc, computed with GGA-PBE.

The structure belongs to space group P4/mmm (No. 123); the cell edges are 5.0780, 5.0780 and 3.6585 Å and the angles 90.00°, 90.00° and 90.00°. Symmetry generates all atoms from Ca at (0.0000, 0.5000, 0.0000), Cr at (0.0000, 0.0000, 0.5000) and Tc at (0.5000, 0.5000, 0.5000).

The value obtained for the energy above the most stable polymorph in this dataset is 540 meV per atom.

---

# 4
A relaxed structure of Ca2CrTc, computed with GGA-PBE.

The structure belongs to space group F-43m (No. 216); the cell edges are 6.9859, 6.9859 and 6.9859 Å and the angles 90.00°, 90.00° and 90.00°. Symmetry generates all atoms from Ca at (0.0000, 0.0000, 0.0000), Ca at (0.2500, 0.2500, 0.2500), Cr at (0.0000, 0.0000, 0.5000) and Tc at (0.2500, 0.2500, 0.7500).

The value obtained for the energy above the most stable polymorph in this dataset is 409 meV per atom.

---

# 5
A relaxed structure of Ca2CrTc, computed with GGA-PBE.

The structure belongs to space group P2/m (No. 10); the cell edges are 3.2294, 4.5853 and 6.1929 Å and the angles 90.00°, 90.06° and 90.00°. Symmetry generates all atoms from Ca at (0.0017, 0.0000, 0.2398), Cr at (0.5000, 0.5000, 0.5000) and Tc at (0.5000, 0.5000, 0.0000).

The value obtained for the energy above the most stable polymorph in this dataset is 532 meV per atom.

---

# 6
A relaxed structure of CaCrTc3, computed with GGA-PBE.

The structure belongs to space group Pm-3m (No. 221); the cell edges are 4.4825, 4.4825 and 4.4825 Å and the angles 90.00°, 90.00° and 90.00°. Symmetry generates all atoms from Ca at (0.0000, 0.0000, 0.0000), Cr at (0.5000, 0.5000, 0.5000) and Tc at (0.0000, 0.0000, 0.5000).

The value obtained for the energy above the most stable polymorph in this dataset is 1955 meV per atom.

---

# 7
A relaxed structure of Ca2CrTc, computed with GGA-PBE.

The structure belongs to space group Fm-3m (No. 225); the cell edges are 6.9578, 6.9578 and 6.9578 Å and the angles 90.00°, 90.00° and 90.00°. Symmetry generates all atoms from Ca at (0.2500, 0.2500, 0.2500), Cr at (0.0000, 0.0000, 0.0000) and Tc at (0.0000, 0.0000, 0.5000).

The value obtained for the energy above the most stable polymorph in this dataset is 986 meV per atom.

---

# 8
A relaxed structure of Ca2CrTc, computed with GGA-PBE.

The structure belongs to space group P4/mmm (No. 123); the cell edges are 3.3324, 3.3324 and 8.7112 Å and the angles 90.00°, 90.00° and 90.00°. Symmetry generates all atoms from Ca at (0.0000, 0.0000, 0.2234), Cr at (0.5000, 0.5000, 0.5000) and Tc at (0.5000, 0.5000, 0.0000).

The value obtained for the energy above the most stable polymorph in this dataset is 525 meV per atom.

---

# 9
A relaxed structure of Ca2CrTc, computed with GGA-PBE.

The structure belongs to space group P4/mmm (No. 123); the cell edges are 4.4112, 4.4112 and 4.5905 Å and the angles 90.00°, 90.00° and 90.00°. Symmetry generates all atoms from Ca at (0.0000, 0.5000, 0.0000), Cr at (0.0000, 0.0000, 0.5000) and Tc at (0.5000, 0.5000, 0.5000).

The value obtained for the energy above the most stable polymorph in this dataset is 496 meV per atom.

---

# 10
A relaxed structure of Ca2CrTc, computed with GGA-PBE.

The structure belongs to space group P4mm (No. 99); the cell edges are 3.2658, 3.2658 and 8.8100 Å and the angles 90.00°, 90.00° and 90.00°. Symmetry generates all atoms from Ca at (0.0000, 0.0000, 0.0000), Ca at (0.5000, 0.5000, 0.3859), Cr at (0.0000, 0.0000, 0.6423) and Tc at (0.5000, 0.5000, 0.7499).

The value obtained for the energy above the most stable polymorph in this dataset is 21 meV per atom.

---

# 11
A relaxed structure of Ca2CrTc, computed with GGA-PBE.

The structure belongs to space group Imm2 (No. 44); the cell edges are 3.4568, 5.3135 and 9.9019 Å and the angles 90.00°, 90.00° and 90.00°. Symmetry generates all atoms from Ca at (0.0000, 0.0000, 0.0000), Ca at (0.0000, 0.5000, 0.2048), Cr at (0.0000, 0.5000, 0.7826) and Tc at (0.0000, 0.0000, 0.4250).

The value obtained for the energy above the most stable polymorph in this dataset is 127 meV per atom.

---

# 12
A relaxed structure of Ca2CrTc, computed with GGA-PBE.

The structure belongs to space group P4/mmm (No. 123); the cell edges are 2.7878, 2.7878 and 9.9448 Å and the angles 90.00°, 90.00° and 90.00°. Symmetry generates all atoms from Ca at (0.0000, 0.0000, 0.2476), Cr at (0.5000, 0.5000, 0.0000) and Tc at (0.5000, 0.5000, 0.5000).

The value obtained for the energy above the most stable polymorph in this dataset is 697 meV per atom.

---

One value per record, in order, for ΔH_f (0 K): 0.45 0.87 0.85 0.72 0.84 2.82 1.29 0.83 0.80 0.33 0.43 1.00 eV/atom.